# CeHoEr2Se4

A geometry-optimized CeHoEr2Se4 structure (PBE-GGA, Alexandria).

a b c (Å): 7.0771 4.0438 7.1094
angles (deg): 90.00 108.96 90.00
Closest atoms and distances in Å follow each position.
Sites, in units of the cell vectors:
Ce (0.0000, 0.0000, 0.0000)  6 Se 2.94-2.95
Ho (0.5000, 0.5000, 0.0000)  6 Se 2.90
Er (0.0000, 0.5000, 0.5000)  6 Se 2.88
Er (0.5000, 0.0000, 0.5000)  6 Se 2.83
Se (0.2535, 0.0000, 0.7439)  3 Er 2.83-2.88, 2 Ho 2.90, 1 Ce 2.94
Se (0.2593, 0.5000, 0.2606)  3 Er 2.83-2.88, 1 Ho 2.90, 2 Ce 2.95
Se (0.7407, 0.5000, 0.7394)  3 Er 2.83-2.88, 1 Ho 2.90, 2 Ce 2.95
Se (0.7465, 0.0000, 0.2561)  3 Er 2.83-2.88, 2 Ho 2.90, 1 Ce 2.94

Computed properties:
uncorrected formation energy: -13.9 eV/f.u.
space group: P2/m (10)
DOS(E_F): 8.57 states/eV/f.u.
electronic total energy: -5.93 eV per atom